(1)
CeScTcMo | PBE | relaxed

Lattice parameters (Å, degrees): 4.736 4.736 4.736 60.00 60.00 60.00
Sites, in units of the cell vectors:
1 Ce 0.000 0.000 0.000
2 Sc 0.500 0.500 0.500
3 Tc 0.250 0.250 0.250
4 Mo 0.750 0.750 0.750

Computed properties:
Magnetization in Bohr magnetons per cell: 0.000
Space group: F-43m (216)
Electronic total energy in hartree per atom: -0.305
Energy relative to the elements in eV per atom: 0.07



(2)
CeMoSe3 | PBE | relaxed

Lattice parameters (Å, degrees): 7.561 7.561 8.355 93.78 93.78 29.14
Sites, in units of the cell vectors:
1 Ce 0.000 0.000 0.000
2 Ce 0.209 0.209 0.798
3 Mo 0.395 0.395 0.512
4 Mo 0.813 0.813 0.287
5 Se 0.228 0.228 0.425
6 Se 0.355 0.355 0.076
7 Se 0.548 0.548 0.727
8 Se 0.660 0.660 0.071
9 Se 0.853 0.853 0.722
10 Se 0.979 0.979 0.374

Computed properties:
Magnetization in Bohr magnetons per cell: 1.968
Space group: Cm (8)
Electronic total energy in hartree per atom: -0.240
ΔE_f (raw) in meV per atom: -1097



(3)
CeMo6Se8 | PBE | relaxed

Lattice parameters (Å, degrees): 6.803 6.803 6.803 88.86 88.86 88.86
Sites, in units of the cell vectors:
1 Ce 0.000 0.000 0.000
2 Mo 0.235 0.424 0.560
3 Mo 0.424 0.560 0.235
4 Mo 0.440 0.765 0.576
5 Mo 0.560 0.235 0.424
6 Mo 0.576 0.440 0.765
7 Mo 0.765 0.576 0.440
8 Se 0.122 0.755 0.373
9 Se 0.240 0.240 0.240
10 Se 0.245 0.627 0.878
11 Se 0.373 0.122 0.755
12 Se 0.627 0.878 0.245
13 Se 0.755 0.373 0.122
14 Se 0.760 0.760 0.760
15 Se 0.878 0.245 0.627

Computed properties:
Magnetization in Bohr magnetons per cell: 0.519
Space group: R-3 (148)
Electronic total energy in hartree per atom: -0.269
ΔE_f (raw) in meV per atom: -728



(4)
Ce2Si4Mo3 | PBE | relaxed

Lattice parameters (Å, degrees): 6.937 6.972 6.877 90.00 109.66 90.00
Sites, in units of the cell vectors:
1 Ce 0.188 0.165 0.060
2 Ce 0.188 0.335 0.560
3 Ce 0.812 0.665 0.440
4 Ce 0.812 0.835 0.940
5 Si 0.094 0.547 0.875
6 Si 0.094 0.953 0.375
7 Si 0.494 0.634 0.631
8 Si 0.494 0.866 0.131
9 Si 0.506 0.134 0.869
10 Si 0.506 0.366 0.369
11 Si 0.906 0.047 0.625
12 Si 0.906 0.453 0.125
13 Mo 0.250 0.661 0.253
14 Mo 0.250 0.839 0.753
15 Mo 0.500 0.000 0.500
16 Mo 0.500 0.500 0.000
17 Mo 0.750 0.161 0.247
18 Mo 0.750 0.339 0.747

Computed properties:
Magnetization in Bohr magnetons per cell: 0.002
Space group: P2_1/c (14)
Electronic total energy in hartree per atom: -0.291
ΔE_f (raw) in meV per atom: -591



(5)
CeSi2Mo | PBE | relaxed

Lattice parameters (Å, degrees): 7.625 3.785 10.313 90.00 90.00 90.00
Sites, in units of the cell vectors:
1 Ce 0.136 0.250 0.135
2 Ce 0.364 0.750 0.635
3 Ce 0.636 0.250 0.365
4 Ce 0.864 0.750 0.865
5 Si 0.163 0.250 0.813
6 Si 0.230 0.250 0.434
7 Si 0.270 0.750 0.934
8 Si 0.337 0.750 0.313
9 Si 0.663 0.250 0.687
10 Si 0.730 0.250 0.066
11 Si 0.770 0.750 0.566
12 Si 0.837 0.750 0.187
13 Mo 0.009 0.750 0.397
14 Mo 0.491 0.250 0.897
15 Mo 0.509 0.750 0.103
16 Mo 0.991 0.250 0.603

Computed properties:
Magnetization in Bohr magnetons per cell: 0.000
Space group: Pnma (62)
Electronic total energy in hartree per atom: -0.276
Polymorph energy (0 for the lowest one) in meV per atom: 0
ΔE_f (raw) in meV per atom: -596



(6)
CeSi2Mo | PBE | relaxed

Lattice parameters (Å, degrees): 6.725 6.725 6.725 32.64 32.64 32.64
Sites, in units of the cell vectors:
1 Ce 0.000 0.000 0.000
2 Si 0.233 0.233 0.233
3 Si 0.767 0.767 0.767
4 Mo 0.500 0.500 0.500

Computed properties:
Magnetization in Bohr magnetons per cell: 0.000
Space group: R-3m (166)
Electronic total energy in hartree per atom: -0.264
Polymorph energy (0 for the lowest one) in meV per atom: 309
ΔE_f (raw) in meV per atom: -288



(7)
Ce3Si7Mo | PBE | relaxed

Lattice parameters (Å, degrees): 9.673 9.673 10.920 90.00 90.00 155.89
Sites, in units of the cell vectors:
1 Ce 0.107 0.893 0.552
2 Ce 0.107 0.893 0.948
3 Ce 0.239 0.761 0.250
4 Ce 0.761 0.239 0.750
5 Ce 0.893 0.107 0.052
6 Ce 0.893 0.107 0.448
7 Si 0.269 0.731 0.538
8 Si 0.269 0.731 0.962
9 Si 0.374 0.626 0.646
10 Si 0.374 0.626 0.854
11 Si 0.397 0.603 0.250
12 Si 0.497 0.503 0.613
13 Si 0.497 0.503 0.887
14 Si 0.503 0.497 0.113
15 Si 0.503 0.497 0.387
16 Si 0.603 0.397 0.750
17 Si 0.626 0.374 0.146
18 Si 0.626 0.374 0.354
19 Si 0.731 0.269 0.038
20 Si 0.731 0.269 0.462
21 Mo 0.052 0.948 0.250
22 Mo 0.948 0.052 0.750

Computed properties:
Magnetization in Bohr magnetons per cell: 0.002
Space group: Cmcm (63)
Electronic total energy in hartree per atom: -0.241
ΔE_f (raw) in meV per atom: -490



(8)
CeSi2Mo | PBE | relaxed

Lattice parameters (Å, degrees): 4.877 4.877 3.874 90.00 90.00 114.96
Sites, in units of the cell vectors:
1 Ce 0.000 0.000 0.000
2 Si 0.000 0.500 0.500
3 Si 0.500 0.000 0.500
4 Mo 0.500 0.500 0.500

Computed properties:
Magnetization in Bohr magnetons per cell: 0.002
Space group: Cmmm (65)
Electronic total energy in hartree per atom: -0.259
Polymorph energy (0 for the lowest one) in meV per atom: 441
ΔE_f (raw) in meV per atom: -155



(9)
CeTaSi2Mo | PBE | relaxed

Lattice parameters (Å, degrees): 6.425 6.425 6.425 143.59 143.59 52.45
Sites, in units of the cell vectors:
1 Ce 0.000 0.000 0.000
2 Ta 0.250 0.750 0.500
3 Si 0.395 0.395 0.000
4 Si 0.605 0.605 0.000
5 Mo 0.750 0.250 0.500

Computed properties:
Magnetization in Bohr magnetons per cell: 0.528
Space group: I-4m2 (119)
Electronic total energy in hartree per atom: -0.310
ΔE_f (raw) in meV per atom: -552



(10)
CeVSi2Mo | PBE | relaxed

Lattice parameters (Å, degrees): 6.294 6.294 6.294 143.54 143.54 52.51
Sites, in units of the cell vectors:
1 Ce 0.000 0.000 0.000
2 V 0.250 0.750 0.500
3 Si 0.392 0.392 0.000
4 Si 0.608 0.608 0.000
5 Mo 0.750 0.250 0.500

Computed properties:
Magnetization in Bohr magnetons per cell: 0.426
Space group: I-4m2 (119)
Electronic total energy in hartree per atom: -0.290
ΔE_f (raw) in meV per atom: -539



(11)
Ce2SnMo | PBE | relaxed

Lattice parameters (Å, degrees): 4.533 4.533 4.496 90.00 90.00 90.00
Sites, in units of the cell vectors:
1 Ce 0.000 0.500 0.000
2 Ce 0.500 0.000 0.000
3 Sn 0.000 0.000 0.500
4 Mo 0.500 0.500 0.500

Computed properties:
Magnetization in Bohr magnetons per cell: 0.280
Space group: P4/mmm (123)
Electronic total energy in hartree per atom: -0.249
Energy relative to the elements in eV per atom: -0.11



(12)
TbCeMo | PBE | relaxed

Lattice parameters (Å, degrees): 6.593 6.593 5.645 98.13 98.13 41.05
Sites, in units of the cell vectors:
1 Tb 0.130 0.130 0.348
2 Tb 0.870 0.870 0.652
3 Ce 0.407 0.407 0.211
4 Ce 0.593 0.593 0.789
5 Mo 0.265 0.265 0.878
6 Mo 0.735 0.735 0.122

Computed properties:
Magnetization in Bohr magnetons per cell: 0.002
Space group: C2/m (12)
Electronic total energy in hartree per atom: -0.256
Energy relative to the elements in eV per atom: 0.17



(13)
Ce2Tc3Mo | PBE | relaxed

Lattice parameters (Å, degrees): 5.231 5.231 5.797 121.47 121.47 68.83
Sites, in units of the cell vectors:
1 Ce 0.122 0.122 0.370
2 Ce 0.878 0.878 0.630
3 Tc 0.000 0.500 0.000
4 Tc 0.500 0.000 0.000
5 Tc 0.500 0.500 0.500
6 Mo 0.500 0.500 0.000

Computed properties:
Magnetization in Bohr magnetons per cell: 0.000
Space group: C2/m (12)
Electronic total energy in hartree per atom: -0.332
Energy relative to the elements in eV per atom: -0.07



(14)
CeTcMo | PBE | relaxed

Lattice parameters (Å, degrees): 6.311 6.311 6.311 151.40 151.40 40.89
Sites, in units of the cell vectors:
1 Ce 0.000 0.000 0.000
2 Tc 0.690 0.690 0.000
3 Mo 0.304 0.304 0.000

Computed properties:
Magnetization in Bohr magnetons per cell: 0.000
Space group: I4mm (107)
Electronic total energy in hartree per atom: -0.330
Energy relative to the elements in eV per atom: 0.08
Polymorph energy (0 for the lowest one) in meV per atom: 0



(15)
CeTcMo | PBE | relaxed

Lattice parameters (Å, degrees): 7.618 7.618 7.618 34.00 34.00 34.00
Sites, in units of the cell vectors:
1 Ce 0.132 0.132 0.132
2 Ce 0.868 0.868 0.868
3 Tc 0.290 0.290 0.290
4 Tc 0.710 0.710 0.710
5 Mo 0.404 0.404 0.404
6 Mo 0.596 0.596 0.596

Computed properties:
Magnetization in Bohr magnetons per cell: 0.000
Space group: R-3m (166)
Electronic total energy in hartree per atom: -0.316
Energy relative to the elements in eV per atom: 0.46
Polymorph energy (0 for the lowest one) in meV per atom: 379



(16)
CeThMo4 | PBE | relaxed

Lattice parameters (Å, degrees): 5.572 5.572 5.572 60.00 60.00 60.00
Sites, in units of the cell vectors:
1 Ce 0.000 0.000 0.000
2 Th 0.250 0.250 0.250
3 Mo 0.125 0.625 0.625
4 Mo 0.625 0.125 0.625
5 Mo 0.625 0.625 0.125
6 Mo 0.625 0.625 0.625

Computed properties:
Magnetization in Bohr magnetons per cell: 0.000
Space group: F-43m (216)
Electronic total energy in hartree per atom: -0.343
Energy relative to the elements in eV per atom: 0.12



(17)
CeTh2Mo | PBE | relaxed

Lattice parameters (Å, degrees): 10.938 10.938 10.938 18.05 18.05 18.05
Sites, in units of the cell vectors:
1 Ce 0.000 0.000 0.000
2 Th 0.097 0.097 0.097
3 Th 0.903 0.903 0.903
4 Mo 0.500 0.500 0.500

Computed properties:
Magnetization in Bohr magnetons per cell: 0.537
Space group: R-3m (166)
Electronic total energy in hartree per atom: -0.274
Energy relative to the elements in eV per atom: 0.45
Polymorph energy (0 for the lowest one) in meV per atom: 344



(18)
Ce2ThMo | PBE | relaxed

Lattice parameters (Å, degrees): 3.502 3.502 8.134 90.00 90.00 90.00
Sites, in units of the cell vectors:
1 Ce 0.000 0.000 0.211
2 Ce 0.000 0.000 0.789
3 Th 0.500 0.500 0.500
4 Mo 0.500 0.500 0.000

Computed properties:
Magnetization in Bohr magnetons per cell: 0.000
Space group: P4/mmm (123)
Electronic total energy in hartree per atom: -0.270
Energy relative to the elements in eV per atom: 0.18



(19)
CeTh2Mo | PBE | relaxed

Lattice parameters (Å, degrees): 3.581 3.581 8.085 90.00 90.00 90.00
Sites, in units of the cell vectors:
1 Ce 0.000 0.000 0.000
2 Th 0.500 0.500 0.280
3 Th 0.500 0.500 0.720
4 Mo 0.000 0.000 0.500

Computed properties:
Magnetization in Bohr magnetons per cell: 0.000
Space group: P4/mmm (123)
Electronic total energy in hartree per atom: -0.286
Energy relative to the elements in eV per atom: 0.11
Polymorph energy (0 for the lowest one) in meV per atom: 0



(20)
CeTiMo | PBE | relaxed

Lattice parameters (Å, degrees): 3.893 3.893 8.483 90.00 90.00 90.00
Sites, in units of the cell vectors:
1 Ce 0.250 0.250 0.138
2 Ce 0.750 0.750 0.862
3 Ti 0.250 0.250 0.722
4 Ti 0.750 0.750 0.278
5 Mo 0.250 0.750 0.500
6 Mo 0.750 0.250 0.500

Computed properties:
Magnetization in Bohr magnetons per cell: 1.050
Space group: P4/nmm (129)
Electronic total energy in hartree per atom: -0.289
Energy relative to the elements in eV per atom: 0.37